1.
Below is a relaxed Na2NpInI6 crystal, with properties calculated at the PBE level.

abc: 8.9179 8.9179 8.9179
angles: 54.27 54.27 54.27
Sites, in units of the cell vectors:
Na 0.0000 0.0000 0.0000
Na 0.4893 0.4893 0.4893
Np 0.6760 0.6760 0.6760
In 0.1864 0.1864 0.1864
I 0.0680 0.4235 0.7604
I 0.2767 0.8724 0.6178
I 0.4235 0.7604 0.0680
I 0.6178 0.2767 0.8724
I 0.7604 0.0680 0.4235
I 0.8724 0.6178 0.2767

The theoretical density is 4.43 g/cm³. Its space group is No. 146. The value obtained for the raw total energy is -0.271 Ry/atom. The value obtained for the total magnetization is 4.000 μB/cell. For the density of states at the Fermi level, the calculation gives 4.2 states/eV/cell. The calculation puts the formation energy (no corrections) at -928 meV/atom.

=====

2.
Below is a relaxed NaInI4O12 crystal, with properties calculated at the PBE level.

abc: 7.2565 5.1016 15.9105
angles: 90.00 101.53 90.00
Sites, in units of the cell vectors:
Na 0.0000 0.0000 0.0000
Na 0.0000 0.5000 0.5000
In 0.5000 0.0000 0.0000
In 0.5000 0.5000 0.5000
I 0.1648 0.0996 0.3355
I 0.1648 0.4004 0.8355
I 0.3197 0.5128 0.1380
I 0.3197 0.9872 0.6380
I 0.6803 0.0128 0.3620
I 0.6803 0.4872 0.8620
I 0.8352 0.5996 0.1645
I 0.8352 0.9004 0.6645
O 0.0542 0.7256 0.7094
O 0.0542 0.7744 0.2094
O 0.1006 0.1486 0.5928
O 0.1006 0.3514 0.0928
O 0.2395 0.1688 0.9270
O 0.2395 0.3312 0.4270
O 0.3003 0.7321 0.5521
O 0.3003 0.7679 0.0521
O 0.3312 0.2102 0.2698
O 0.3312 0.2898 0.7698
O 0.4986 0.2007 0.6028
O 0.4986 0.2993 0.1028
O 0.5014 0.7007 0.8972
O 0.5014 0.7993 0.3972
O 0.6688 0.7102 0.2302
O 0.6688 0.7898 0.7302
O 0.6997 0.2321 0.9479
O 0.6997 0.2679 0.4479
O 0.7605 0.6688 0.5730
O 0.7605 0.8312 0.0730
O 0.8994 0.6486 0.9072
O 0.8994 0.8514 0.4072
O 0.9458 0.2256 0.7906
O 0.9458 0.2744 0.2906

The theoretical density is 4.82 g/cm³. Its space group is No. 14. The value obtained for the raw total energy is -0.334 Ry/atom. The value obtained for the total magnetization is 0.000 μB/cell. For the density of states at the Fermi level, the calculation gives 0.0 states/eV/cell. The calculation puts the formation energy (no corrections) at -665 meV/atom.

=====

3.
Below is a relaxed Na2InIO6 crystal, with properties calculated at the PBE level.

abc: 5.5826 5.5826 5.5826
angles: 60.48 60.48 60.48
Sites, in units of the cell vectors:
Na 0.2429 0.2429 0.2429
Na 0.7571 0.7571 0.7571
In 0.5000 0.5000 0.5000
I 0.0000 0.0000 0.0000
O 0.1425 0.3215 0.7764
O 0.2236 0.8575 0.6785
O 0.3215 0.7764 0.1425
O 0.6785 0.2236 0.8575
O 0.7764 0.1425 0.3215
O 0.8575 0.6785 0.2236

The theoretical density is 5.12 g/cm³. Its space group is No. 148. The value obtained for the raw total energy is -0.350 Ry/atom. The value obtained for the total magnetization is 0.000 μB/cell. The calculation puts the formation energy (no corrections) at -1090 meV/atom.

=====

4.
Below is a relaxed NaPaInI6 crystal, with properties calculated at the PBE level.

abc: 8.3108 8.3108 14.0219
angles: 90.00 90.00 120.00
Sites, in units of the cell vectors:
Na 0.0000 0.0000 0.0000
Na 0.0000 0.0000 0.5000
Pa 0.3333 0.6667 0.2500
Pa 0.6667 0.3333 0.7500
In 0.3333 0.6667 0.7500
In 0.6667 0.3333 0.2500
I 0.0385 0.3625 0.1249
I 0.0385 0.6759 0.3751
I 0.3241 0.3625 0.3751
I 0.3241 0.9615 0.1249
I 0.3625 0.0385 0.6249
I 0.3625 0.3241 0.8751
I 0.6375 0.6759 0.1249
I 0.6375 0.9615 0.3751
I 0.6759 0.0385 0.8751
I 0.6759 0.6375 0.6249
I 0.9615 0.3241 0.6249
I 0.9615 0.6375 0.8751

The theoretical density is 4.48 g/cm³. Its space group is No. 163. The value obtained for the raw total energy is -0.254 Ry/atom. The value obtained for the total magnetization is 2.022 μB/cell. The calculation puts the formation energy (no corrections) at -910 meV/atom.

=====

5.
Below is a relaxed Na2PaInI8 crystal, with properties calculated at the PBE level.

abc: 7.3124 9.8034 7.7338
angles: 90.00 93.42 90.00
Sites, in units of the cell vectors:
Na 0.0000 0.2376 0.0000
Na 0.0000 0.7624 0.0000
Pa 0.5000 0.5000 0.5000
In 0.5000 0.0000 0.5000
I 0.2136 0.0000 0.1758
I 0.2412 0.5000 0.1824
I 0.2807 0.2812 0.6554
I 0.2807 0.7188 0.6554
I 0.7193 0.2812 0.3446
I 0.7193 0.7188 0.3446
I 0.7588 0.5000 0.8176
I 0.7864 0.0000 0.8242

The theoretical density is 4.22 g/cm³. Its space group is No. 10. The value obtained for the raw total energy is -0.234 Ry/atom. The value obtained for the total magnetization is 0.371 μB/cell. For the density of states at the Fermi level, the calculation gives 5.6 states/eV/cell. The calculation puts the formation energy (no corrections) at -911 meV/atom.

=====

6.
Below is a relaxed NaInPb2I8 crystal, with properties calculated at the PBE level.

abc: 7.2323 9.3250 7.6869
angles: 90.00 91.21 90.00
Sites, in units of the cell vectors:
Na 0.0000 0.0000 0.0000
In 0.0000 0.5000 0.0000
Pb 0.5000 0.2523 0.5000
Pb 0.5000 0.7477 0.5000
I 0.2286 0.5000 0.6741
I 0.2354 0.2687 0.1463
I 0.2354 0.7313 0.1463
I 0.2659 0.0000 0.6608
I 0.7341 0.0000 0.3392
I 0.7646 0.2687 0.8537
I 0.7646 0.7313 0.8537
I 0.7714 0.5000 0.3259

The theoretical density is 5.02 g/cm³. Its space group is No. 10. The value obtained for the raw total energy is -0.193 Ry/atom. The value obtained for the total magnetization is 0.000 μB/cell. The calculation puts the formation energy (no corrections) at -642 meV/atom.